No. 1
Density functional theory data (PBE-GGA) for crystalline RbSn at its relaxed geometry.

Formation energy from the elements: -0.04 eV/atom
Total DFT energy (no corrections): -2.5259 eV per atom
Mass density: 3.38 g/cm3
Space-group type: No. 70

abc: 14.793 12.322 8.804
angles: 90.00 90.00 90.00
Sites, in units of the cell vectors:
Rb 0.000 0.196 0.000
Rb 0.000 0.804 0.000
Rb 0.250 0.554 0.250
Rb 0.250 0.946 0.250
Rb 0.000 0.696 0.500
Rb 0.000 0.304 0.500
Rb 0.250 0.054 0.750
Rb 0.250 0.446 0.750
Rb 0.500 0.196 0.500
Rb 0.500 0.804 0.500
Rb 0.750 0.554 0.750
Rb 0.750 0.946 0.750
Rb 0.500 0.696 0.000
Rb 0.500 0.304 0.000
Rb 0.750 0.054 0.250
Rb 0.750 0.446 0.250
Sn 0.000 0.000 0.350
Sn 0.000 0.000 0.650
Sn 0.250 0.750 0.900
Sn 0.250 0.750 0.600
Sn 0.000 0.500 0.850
Sn 0.000 0.500 0.150
Sn 0.250 0.250 0.400
Sn 0.250 0.250 0.100
Sn 0.500 0.000 0.850
Sn 0.500 0.000 0.150
Sn 0.750 0.750 0.400
Sn 0.750 0.750 0.100
Sn 0.500 0.500 0.350
Sn 0.500 0.500 0.650
Sn 0.750 0.250 0.900
Sn 0.750 0.250 0.600

No. 2
Density functional theory data (PBE-GGA) for crystalline LaSmHgAu at its relaxed geometry.

Formation energy from the elements: -0.62 eV/atom
Total DFT energy (no corrections): -3.9221 eV per atom
Mass density: 10.46 g/cm3
Space-group type: No. 216
Relative energy among the computed polymorphs: 21.9 meV/atom
D(E_F): 3.1 states/eV/cell

abc: 5.363 5.363 5.363
angles: 60.00 60.00 60.00
Sites, in units of the cell vectors:
Au 0.000 0.000 0.000
Hg 0.500 0.500 0.500
Sm 0.750 0.750 0.750
La 0.250 0.250 0.250

No. 3
Density functional theory data (PBE-GGA) for crystalline SmTl2Pb5 at its relaxed geometry.

Formation energy from the elements: -0.11 eV/atom
Total DFT energy (no corrections): -3.6106 eV per atom
Mass density: 10.84 g/cm3
Space-group type: No. 8
D(E_F): 3.2 states/eV/cell

abc: 6.827 6.827 6.827
angles: 107.71 107.71 113.05
Sites, in units of the cell vectors:
Sm 0.778 0.777 0.000
Tl 0.278 0.778 0.500
Tl 0.778 0.278 0.500
Pb 0.277 0.278 0.500
Pb 0.278 0.778 0.000
Pb 0.778 0.277 0.000
Pb 0.778 0.778 0.500
Pb 0.279 0.278 0.000